Entry 1:
## NdY3S6 (GGA-PBE)

Data for crystalline NdY3S6 at its relaxed geometry.

Cell and atoms, written as POSCAR:
```
NdY3S6
1.0
3.9996 0.0000 0.0000
0.0000 11.1079 -0.0086
0.0000 3.6565 10.7773
Y S Nd
6 12 2
Direct
0.2500 0.8189 0.0021
0.7500 0.1811 0.9979
0.2500 0.3391 0.5861
0.7500 0.6609 0.4139
0.2500 0.0612 0.3323
0.7500 0.9388 0.6677
0.7500 0.2381 0.2267
0.2500 0.7619 0.7733
0.2500 0.3840 0.9630
0.2500 0.1040 0.5601
0.7500 0.3054 0.7490
0.2500 0.6946 0.2510
0.7500 0.8960 0.4399
0.7500 0.6160 0.0370
0.2500 0.5824 0.5952
0.2500 0.0225 0.1116
0.7500 0.4176 0.4048
0.7500 0.9775 0.8884
0.2500 0.4520 0.1936
0.7500 0.5480 0.8064
```

## Properties
- Calculated volume: 478.93 Å³/cell
- Uncorrected energy: -6.98 eV/atom
- Magnetization: 0.00 μB per cell
- Calculated density: 4.2 g cm⁻³
- ΔE_f (raw): -2.0892 eV/atom



Entry 2:
## Mg2Tc2Bi (GGA-PBE)

Data for crystalline Mg2Tc2Bi at its relaxed geometry.

Cell and atoms, written as POSCAR:
```
Mg2Tc2Bi
1.0
-0.5989 -2.6137 -3.0551
-2.7186 -2.0124 2.2546
-6.2558 1.3734 -2.6529
Tc Mg Bi
2 2 1
Direct
0.4112 0.4112 0.1776
0.5888 0.5888 0.8224
0.2500 0.7500 0.5000
0.7500 0.2500 0.5000
0.0000 0.0000 0.0000
```

## Properties
- Calculated volume: 104.24 Å³/cell
- Uncorrected energy: -4.87 eV/atom
- Energy of formation: 66.8 kJ per mole of atoms
- Polymorph energy (0 for the lowest one): 1.70 eV/f.u.
- Magnetization: 0.00 μB per cell
- Calculated density: 7.2 g cm⁻³